No. 1
Density functional theory data (PBE-GGA) for crystalline NaZn2Tc at its relaxed geometry.

Lattice parameters (Å, degrees): 6.3904 6.3904 6.3904 90.00 90.00 90.00
Space group Fm-3m (No. 225)
Unique sites:
Na (0.0000, 0.0000, 0.0000) (multiplicity 4)
Zn (0.2500, 0.2500, 0.2500) (multiplicity 8)
Tc (0.0000, 0.0000, 0.5000) (multiplicity 4)

Results
- Formation energy from the elements: 171 kJ/mol of formula units
- Magnetization: 1.60 μB per formula unit
- Density of states at the Fermi level: 15.4 states/eV per cell
- Energy above the lowest structure with this stoichiometry: 0.0 meV per atom

=====

No. 2
Density functional theory data (PBE-GGA) for crystalline Na2ZnTc at its relaxed geometry.

Lattice parameters (Å, degrees): 8.1873 8.1873 5.3177 90.00 90.00 90.00
Space group I-42d (No. 122)
Unique sites:
Na (0.2276, 0.2500, 0.1250) (multiplicity 8)
Zn (0.0000, 0.0000, 0.0000) (multiplicity 4)
Tc (0.0000, 0.0000, 0.5000) (multiplicity 4)

Results
- Formation energy from the elements: 371 kJ/mol of formula units
- Magnetization: 2.80 μB per formula unit
- Density of states at the Fermi level: 13.8 states/eV per cell